No. 1
Entry from the Alexandria database: a geometry-optimized Be2AlSi structure (PBE).

Unit cell a=3.594 b=5.480 c=5.858 alpha=99.26 beta=107.67 gamma=108.28
Positions (direct):
1 Be 0.000 0.000 0.000
2 Be 0.020 0.757 0.277
3 Be 0.050 0.292 0.802
4 Be 0.369 0.739 0.997
5 Al 0.617 0.546 0.692
6 Al 0.749 0.138 0.354
7 Si 0.344 0.453 0.230
8 Si 0.358 0.009 0.694

- Formation energy from raw total energies: 137 meV/atom
- Relative energy among the computed polymorphs: 0 meV/atom
- Energy: -32.143 eV for the cell shown
- D(E_F): 0.9 states/eV/f.u.
- Volume: 12.52 A^3/atom
- Total magnetic moment: 0.00 μB per formula unit

No. 2
Entry from the Alexandria database: a geometry-optimized BeAl2Si structure (PBE).

Unit cell a=2.873 b=3.846 c=5.226 alpha=90.00 beta=102.13 gamma=90.00
Positions (direct):
1 Be 0.000 0.000 0.000
2 Al 0.418 0.500 0.818
3 Al 0.793 0.000 0.507
4 Si 0.177 0.500 0.277

- Formation energy from raw total energies: 215 meV/atom
- Energy: -15.775 eV for the cell shown
- D(E_F): 1.2 states/eV/f.u.
- Volume: 14.11 A^3/atom
- Total magnetic moment: 0.00 μB per formula unit

No. 3
Entry from the Alexandria database: a geometry-optimized Be2AlSi structure (PBE).

Unit cell a=3.550 b=5.505 c=5.945 alpha=71.35 beta=72.97 gamma=72.15
Positions (direct):
1 Be 0.000 0.000 0.000
2 Be 0.099 0.587 0.216
3 Be 0.239 0.745 0.770
4 Be 0.640 0.730 0.986
5 Al 0.366 0.921 0.338
6 Al 0.578 0.158 0.678
7 Si 0.738 0.296 0.222
8 Si 0.896 0.555 0.636

- Formation energy from raw total energies: 167 meV/atom
- Relative energy among the computed polymorphs: 31 meV/atom
- Energy: -31.899 eV for the cell shown
- D(E_F): 0.8 states/eV/f.u.
- Volume: 12.79 A^3/atom
- Total magnetic moment: 0.00 μB per formula unit

No. 4
Entry from the Alexandria database: a geometry-optimized Be2AlSi structure (PBE).

Unit cell a=3.470 b=3.505 c=4.314 alpha=90.00 beta=112.60 gamma=90.00
Positions (direct):
1 Be 0.000 0.000 0.000
2 Be 0.144 0.500 0.296
3 Al 0.700 0.000 0.420
4 Si 0.451 0.500 0.892

- Formation energy from raw total energies: 192 meV/atom
- Relative energy among the computed polymorphs: 55 meV/atom
- Energy: -15.850 eV for the cell shown
- D(E_F): 0.6 states/eV/f.u.
- Volume: 12.11 A^3/atom
- Total magnetic moment: 0.00 μB per formula unit

No. 5
Entry from the Alexandria database: a geometry-optimized Be2AlSi structure (PBE).

Unit cell a=3.072 b=3.072 c=5.072 alpha=90.00 beta=90.00 gamma=90.00
Positions (direct):
1 Be 0.000 0.000 0.233
2 Be 0.000 0.000 0.767
3 Al 0.500 0.500 0.500
4 Si 0.500 0.500 0.000

- Formation energy from raw total energies: 347 meV/atom
- Relative energy among the computed polymorphs: 210 meV/atom
- Energy: -15.230 eV for the cell shown
- D(E_F): 0.9 states/eV/f.u.
- Volume: 11.97 A^3/atom
- Total magnetic moment: 0.00 μB per formula unit

No. 6
Entry from the Alexandria database: a geometry-optimized BeAlSi3 structure (PBE).

Unit cell a=4.311 b=4.311 c=4.311 alpha=90.00 beta=90.00 gamma=90.00
Positions (direct):
1 Be 0.000 0.000 0.000
2 Al 0.500 0.500 0.500
3 Si 0.000 0.000 0.500
4 Si 0.000 0.500 0.000
5 Si 0.500 0.000 0.000

- Formation energy from raw total energies: 685 meV/atom
- Relative energy among the computed polymorphs: 0 meV/atom
- Energy: -20.314 eV for the cell shown
- D(E_F): 2.2 states/eV/f.u.
- Volume: 16.02 A^3/atom
- Total magnetic moment: 0.00 μB per formula unit